First-principles (GGA-PBE) data for a relaxed structure of Sc4TaPt, as listed in Alexandria via LeMat-Bulk.

```
Sc4TaPt
1.0
0.000 3.922 3.922
3.922 0.000 3.922
3.922 3.922 0.000
Sc Ta Pt
4 1 1
Direct
0.125 0.125 0.125
0.125 0.125 0.626
0.125 0.626 0.125
0.626 0.125 0.125
0.750 0.750 0.750
0.500 0.500 0.500
```

Computed properties:
Its space group is F-43m, No. 216. The value obtained for the total magnetization is 1.00 μB/f.u. The calculation puts the energy relative to the elements at 0.31 eV/atom.

***

First-principles (GGA-PBE) data for a relaxed structure of La6Au2SN, as listed in Alexandria via LeMat-Bulk.

```
La6Au2SN
1.0
6.978 0.000 0.000
0.000 7.650 0.000
-6.859 0.000 10.538
La Au S N
12 4 2 2
Direct
0.109 0.210 0.441
0.109 0.290 0.941
0.246 0.675 0.443
0.246 0.825 0.943
0.360 0.032 0.237
0.360 0.468 0.737
0.640 0.532 0.263
0.640 0.968 0.763
0.754 0.175 0.057
0.754 0.325 0.557
0.891 0.710 0.059
0.891 0.790 0.559
0.192 0.093 0.743
0.192 0.407 0.243
0.808 0.593 0.757
0.808 0.907 0.257
0.500 0.000 0.500
0.500 0.500 0.000
0.000 0.000 0.000
0.000 0.500 0.500
```

Computed properties:
Its space group is P2_1/c, No. 14. The value obtained for the total magnetization is 0.00 μB/f.u. The uncorrected formation energy comes out at -1034 meV/atom.

***

First-principles (GGA-PBE) data for a relaxed structure of ZnP2PdO, as listed in Alexandria via LeMat-Bulk.

```
ZnP2PdO
1.0
4.792 0.000 0.000
0.000 4.792 0.000
0.000 0.000 3.528
Zn P Pd O
1 2 1 1
Direct
0.000 0.000 0.000
0.000 0.500 0.000
0.500 0.000 0.000
0.500 0.500 0.500
0.000 0.000 0.500
```

Computed properties:
The calculation puts the polymorph energy (0 for the lowest one) at 0.166 eV/atom. Its space group is P4/mmm, No. 123. The value obtained for the total magnetization is 0.00 μB/f.u. The uncorrected formation energy comes out at 569 meV/atom.